(1)
Sm3TmPb2 | Alexandria | PBE | relaxed; energy relative to the elements = -0.382 eV per atom; calculated volume = 179.4 Å³ per cell
1.0
2.478 -8.093 0.000
2.478 8.093 0.000
0.000 0.000 4.472
Sm Tm Pb
3 1 2
direct
0.000 0.000 0.000
0.325 0.675 0.000
0.675 0.325 0.000
0.500 0.500 0.500
0.150 0.850 0.500
0.850 0.150 0.500



(2)
HfScSn3 | Alexandria | PBE | relaxed; energy relative to the elements = 0.398 eV per atom; calculated volume = 160.9 Å³ per cell
1.0
5.439 0.000 0.000
0.000 5.439 0.000
0.000 0.000 5.439
Hf Sc Sn
1 1 3
direct
0.000 0.000 0.000
0.500 0.500 0.500
0.000 0.000 0.500
0.000 0.500 0.000
0.500 0.000 0.000



(3)
RbO2F2 | Alexandria | PBE | relaxed; ΔE_f (raw) = -550 kJ/mol of formula units; calculated volume = 113.4 Å³ per cell
1.0
3.669 -2.177 0.000
3.669 2.177 0.000
-0.690 0.000 7.102
Rb O F
1 2 2
direct
0.000 0.000 0.000
0.420 0.420 0.473
0.580 0.580 0.527
0.355 0.355 0.193
0.645 0.645 0.807



(4)
NpUPbS6 | Alexandria | PBE | relaxed; ΔE_f (raw) = -824 kJ/mol of formula units; calculated volume = 497.8 Å³ per cell
1.0
6.351 0.000 0.000
0.000 6.351 0.000
0.000 0.000 12.341
Np U Pb S
2 2 2 12
direct
0.000 0.000 0.000
0.500 0.500 0.500
0.000 0.000 0.665
0.500 0.500 0.165
0.000 0.000 0.332
0.500 0.500 0.832
0.178 0.178 0.828
0.201 0.201 0.518
0.210 0.210 0.150
0.290 0.710 0.650
0.299 0.701 0.018
0.322 0.678 0.328
0.678 0.322 0.328
0.701 0.299 0.018
0.710 0.290 0.650
0.790 0.790 0.150
0.799 0.799 0.518
0.822 0.822 0.828



(5)
Nd3Ti12Bi13O48 | Alexandria | PBE | relaxed; ΔE_f (raw) = -17146 kJ/mol of formula units; calculated volume = 1002.0 Å³ per cell
1.0
5.480 0.000 0.000
0.012 10.906 0.000
2.686 -0.003 16.767
Nd Ti Bi O
3 12 13 48
direct
0.000 0.000 0.000
0.010 0.500 0.001
0.500 0.252 0.999
0.079 0.250 0.873
0.080 0.749 0.871
0.199 0.251 0.616
0.199 0.750 0.616
0.436 0.004 0.123
0.437 0.499 0.124
0.577 0.503 0.873
0.579 0.001 0.872
0.698 0.002 0.617
0.700 0.501 0.617
0.938 0.251 0.122
0.948 0.751 0.125
0.182 0.002 0.739
0.185 0.502 0.741
0.359 0.990 0.448
0.360 0.490 0.448
0.436 0.240 0.293
0.436 0.739 0.294
0.536 0.754 0.007
0.683 0.251 0.739
0.684 0.750 0.740
0.859 0.263 0.448
0.860 0.763 0.448
0.935 0.014 0.293
0.937 0.513 0.294
0.006 0.285 0.986
0.087 0.711 0.755
0.089 0.213 0.756
0.124 0.131 0.372
0.125 0.381 0.370
0.126 0.630 0.372
0.126 0.881 0.369
0.161 0.889 0.112
0.170 0.385 0.113
0.208 0.632 0.090
0.209 0.131 0.085
0.243 0.601 0.886
0.245 0.282 0.512
0.245 0.783 0.512
0.255 0.106 0.894
0.344 0.858 0.854
0.360 0.351 0.855
0.377 0.101 0.623
0.378 0.601 0.624
0.379 0.035 0.228
0.383 0.530 0.229
0.440 0.861 0.653
0.443 0.360 0.652
0.489 0.468 0.985
0.515 0.968 0.985
0.586 0.042 0.755
0.590 0.537 0.755
0.624 0.122 0.372
0.625 0.872 0.369
0.626 0.372 0.369
0.626 0.622 0.372
0.660 0.863 0.114
0.671 0.366 0.110
0.708 0.120 0.086
0.712 0.619 0.088
0.745 0.470 0.512
0.745 0.970 0.512
0.748 0.647 0.889
0.755 0.146 0.891
0.852 0.897 0.850
0.856 0.399 0.858
0.877 0.218 0.227
0.877 0.652 0.624
0.878 0.151 0.624
0.886 0.721 0.230
0.939 0.891 0.653
0.943 0.392 0.652
0.972 0.783 0.984



(6)
TiMnNb | Alexandria | PBE | relaxed; energy relative to the elements = 0.259 eV per atom; calculated volume = 202.2 Å³ per cell
1.0
8.815 0.000 0.000
0.000 3.945 0.000
0.000 0.000 5.814
Ti Mn Nb
4 4 4
direct
0.134 0.250 0.225
0.366 0.750 0.725
0.634 0.250 0.275
0.866 0.750 0.775
0.120 0.750 0.981
0.380 0.250 0.481
0.620 0.750 0.519
0.880 0.250 0.019
0.121 0.250 0.719
0.379 0.750 0.219
0.621 0.250 0.781
0.879 0.750 0.281



Which of these has the lowest calculated volume?
RbO2F2